A plane-wave DFT calculation with GGA-PBE was carried out for a geometry-optimized RbDy4ErSe8 structure.

Values from the calculation:
* formation energy (no corrections): -1.717 eV per atom
* theoretical density: 5.6 g/cm³
* calculated volume: 1361.76 Å³/cell

a = 8.6430 Å, b = 8.6430 Å, c = 21.0494 Å
α = 90.00°, β = 90.00°, γ = 120.00°
Space group R3m (No. 160, hexagonal axes)
Asymmetric unit:
Rb1 0.0000 0.0000 0.0000 x3
Dy1 0.0000 0.0000 0.2485 x3
Dy2 0.1732 0.3465 0.4554 x9
Er1 0.0000 0.0000 0.6282 x3
Se1 0.0000 0.0000 0.3810 x3
Se2 0.0000 0.0000 0.8563 x3
Se3 0.0491 0.5245 0.3788 x9
Se4 0.1769 0.3538 0.2050 x9



A plane-wave DFT calculation with GGA-PBE was carried out for a geometry-optimized SmScOsRh structure.

Values from the calculation:
* theoretical density: 10.7 g/cm³
* calculated volume: 303.16 Å³/cell

a = 6.718 Å, b = 6.718 Å, c = 6.718 Å
α = 90.00°, β = 90.00°, γ = 90.00°
Space group F-43m (No. 216)
Asymmetric unit:
Sm1 0.000 0.000 0.000 x4
Sc1 0.000 0.000 0.500 x4
Os1 0.250 0.250 0.250 x4
Rh1 0.250 0.250 0.750 x4



A plane-wave DFT calculation with GGA-PBE was carried out for a geometry-optimized Li2BeNi structure.

Values from the calculation:
* theoretical density: 3.0 g/cm³
* calculated volume: 135.13 Å³/cell

a = 2.4577 Å, b = 2.4577 Å, c = 25.8308 Å
α = 90.00°, β = 90.00°, γ = 120.00°
Space group R-3m (No. 166, hexagonal axes)
Asymmetric unit:
Li1 0.0000 0.0000 0.2476 x6
Be1 0.0000 0.0000 0.0000 x3
Ni1 0.0000 0.0000 0.5000 x3



A plane-wave DFT calculation with GGA-PBE was carried out for a geometry-optimized Li5AlHg structure.

Values from the calculation:
* theoretical density: 3.5 g/cm³
* calculated volume: 503.28 Å³/cell

a = 9.657 Å, b = 5.495 Å, c = 9.550 Å
α = 90.00°, β = 96.75°, γ = 90.00°
Space group C2/c (No. 15)
Asymmetric unit:
Li1 0.000 0.249 0.250 x4
Li2 0.145 0.012 0.018 x8
Li3 0.226 0.491 0.715 x8
Al1 0.000 0.500 0.000 x4
Hg1 0.000 0.221 0.750 x4



A plane-wave DFT calculation with GGA-PBE was carried out for a geometry-optimized CsHg2 structure.

Values from the calculation:
* theoretical density: 7.2 g/cm³
* calculated volume: 489.70 Å³/cell
* E above lowest polymorph: 0.00 eV per formula unit

a = 5.636 Å, b = 8.985 Å, c = 9.670 Å
α = 90.00°, β = 90.00°, γ = 90.00°
Space group Imma (No. 74)
Asymmetric unit:
Cs1 0.000 0.250 0.054 x4
Hg1 0.000 0.068 0.667 x8



A plane-wave DFT calculation with GGA-PBE was carried out for a geometry-optimized Y5Sc3Se8 structure.

Values from the calculation:
* formation energy (no corrections): -1.686 eV per atom
* theoretical density: 5.5 g/cm³
* calculated volume: 1096.36 Å³/cell

a = 8.0259 Å, b = 8.0259 Å, c = 19.6531 Å
α = 90.00°, β = 90.00°, γ = 120.00°
Space group R-3m (No. 166, hexagonal axes)
Asymmetric unit:
Y1 0.0000 0.0000 0.0000 x3
Y2 0.0000 0.0000 0.5000 x3
Y3 0.0000 0.5000 0.0000 x9
Sc1 0.0000 0.5000 0.5000 x9
Se1 0.0000 0.0000 0.2445 x6
Se2 0.0073 0.5037 0.7537 x18



A plane-wave DFT calculation with GGA-PBE was carried out for a geometry-optimized Y4TcAu structure.

Values from the calculation:
* theoretical density: 6.7 g/cm³
* calculated volume: 320.94 Å³/cell
* E above lowest polymorph: 0.00 eV per formula unit

a = 6.411 Å, b = 7.559 Å, c = 7.876 Å
α = 111.41°, β = 101.58°, γ = 106.25°
Space group P-1 (No. 2)
Asymmetric unit:
Y1 0.025 0.364 0.232 x2
Y2 0.190 0.852 0.273 x2
Y3 0.363 0.157 0.965 x2
Y4 0.363 0.370 0.649 x2
Tc1 0.253 0.506 0.001 x2
Au1 0.367 0.772 0.622 x2



A plane-wave DFT calculation with GGA-PBE was carried out for a geometry-optimized TaCr2Os structure.

Values from the calculation:
* theoretical density: 13.9 g/cm³
* calculated volume: 113.54 Å³/cell
* E above lowest polymorph: 1.07 eV per formula unit

a = 3.076 Å, b = 4.404 Å, c = 8.381 Å
α = 90.00°, β = 90.00°, γ = 90.00°
Space group Cmmm (No. 65)
Asymmetric unit:
Ta1 0.000 0.000 0.000 x2
Cr1 0.000 0.500 0.259 x4
Os1 0.000 0.000 0.500 x2



A plane-wave DFT calculation with GGA-PBE was carried out for a geometry-optimized HoThSe2 structure.

Values from the calculation:
* formation energy (no corrections): -1.574 eV per atom
* theoretical density: 9.1 g/cm³
* calculated volume: 302.22 Å³/cell
* E above lowest polymorph: 0.22 eV per formula unit

a = 3.8900 Å, b = 3.8900 Å, c = 23.0620 Å
α = 90.00°, β = 90.00°, γ = 120.00°
Space group R3m (No. 160, hexagonal axes)
Asymmetric unit:
Ho1 0.0000 0.0000 0.0000 x3
Th1 0.0000 0.0000 0.8287 x3
Se1 0.0000 0.0000 0.2520 x3
Se2 0.0000 0.0000 0.4091 x3



A plane-wave DFT calculation with GGA-PBE was carried out for a geometry-optimized HoEr6Co2 structure.

Values from the calculation:
* theoretical density: 9.3 g/cm³
* calculated volume: 918.04 Å³/cell

a = 9.418 Å, b = 9.751 Å, c = 9.997 Å
α = 90.00°, β = 90.00°, γ = 90.00°
Space group Immm (No. 71)
Asymmetric unit:
Ho1 0.000 0.000 0.000 x2
Ho2 0.000 0.000 0.500 x2
Er1 0.000 0.214 0.242 x8
Er2 0.185 0.500 0.182 x8
Er3 0.213 0.314 0.500 x8
Co1 0.000 0.306 0.000 x4
Co2 0.000 0.500 0.386 x4



A plane-wave DFT calculation with GGA-PBE was carried out for a geometry-optimized Pa2SbPt structure.

Values from the calculation:
* formation energy (no corrections): -0.640 eV per atom
* theoretical density: 13.0 g/cm³
* calculated volume: 198.82 Å³/cell
* E above lowest polymorph: 0.00 eV per formula unit

a = 6.201 Å, b = 4.067 Å, c = 8.395 Å
α = 90.00°, β = 110.11°, γ = 90.00°
Space group P2_1/m (No. 11)
Asymmetric unit:
Pa1 0.167 0.250 0.399 x2
Pa2 0.255 0.750 0.055 x2
Sb1 0.395 0.750 0.698 x2
Pt1 0.142 0.250 0.794 x2



A plane-wave DFT calculation with GGA-PBE was carried out for a geometry-optimized Nd3I structure.

Values from the calculation:
* formation energy (no corrections): -0.131 eV per atom
* theoretical density: 7.3 g/cm³
* calculated volume: 253.30 Å³/cell
* E above lowest polymorph: 0.72 eV per formula unit

a = 7.0871 Å, b = 7.0871 Å, c = 5.8234 Å
α = 90.00°, β = 90.00°, γ = 120.00°
Space group P6_3/mmc (No. 194)
Asymmetric unit:
Nd1 0.1664 0.3327 0.2500 x6
I1 0.3333 0.6667 0.7500 x2



Number 1: spin magnetization 0.0 μB/f.u., energy -227.5 eV per cell. Number 2: spin magnetization 0.0 μB/f.u., energy -125.5 eV per cell. Number 3: spin magnetization 0.0 μB/f.u., energy -38.9 eV per cell. Number 4: spin magnetization 0.0 μB/f.u., energy -57.9 eV per cell. Number 5: spin magnetization 0.0 μB/f.u., energy -9.1 eV per cell. Number 6: spin magnetization 0.0 μB/f.u., energy -318.5 eV per cell. Number 7: spin magnetization 0.0 μB/f.u., energy -83.3 eV per cell. Number 8: spin magnetization 0.0 μB/f.u., energy -82.8 eV per cell. Number 9: spin magnetization 0.0 μB/f.u., energy -75.8 eV per cell. Number 10: spin magnetization 0.0 μB/f.u., energy -187.7 eV per cell. Number 11: spin magnetization 0.0 μB/f.u., energy -63.4 eV per cell. Number 12: spin magnetization 0.0 μB/f.u., energy -32.8 eV per cell.